Entry 1:
! Li2LaMoF8 | Alexandria via LeMat-Bulk | PBE+U | optimized geometry; values from VASP
! - DFT total energy (eV per atom) = -5.738
&SYSTEM
  ibrav = 0, nat = 12, ntyp = 4
/
ATOMIC_SPECIES
Li 6.94 Li.upf
La 138.91 La.upf
Mo 95.94 Mo.upf
F 19.00 F.upf
CELL_PARAMETERS angstrom
-3.4776 -0.4655 -2.2975
2.3341 -2.2499 -4.0020
-1.1585 -6.7932 3.1295
ATOMIC_POSITIONS crystal
Li 0.5005 0.5005 0.8068
Li 0.4995 0.4995 0.1932
La 0.0000 0.0000 0.5000
Mo 0.0000 0.0000 0.0000
F 0.1488 0.7668 0.2236
F 0.6517 0.7316 0.0001
F 0.8514 0.2330 0.2232
F 0.8512 0.2332 0.7764
F 0.3483 0.2684 0.9999
F 0.1486 0.7670 0.7768
F 0.5796 0.7446 0.5008
F 0.4204 0.2554 0.4992

***

Entry 2:
! Li2LaMoF | Alexandria via LeMat-Bulk | PBE+U | optimized geometry; values from VASP
! - DFT total energy (eV per atom) = -3.852
&SYSTEM
  ibrav = 0, nat = 5, ntyp = 4
/
ATOMIC_SPECIES
Mo 95.94 Mo.upf
F 19.00 F.upf
Li 6.94 Li.upf
La 138.91 La.upf
CELL_PARAMETERS angstrom
-1.8561 3.6142 1.4015
-2.0993 1.1010 -5.6193
-3.5830 -2.1926 0.9090
ATOMIC_POSITIONS crystal
Mo 0.0000 0.5000 0.0000
F 0.0000 0.0000 0.0000
Li 0.0000 0.0000 0.5000
Li 0.5000 0.0000 0.0000
La 0.5000 0.5000 0.5000

***

Entry 3:
! Li2LaNiF8 | Alexandria via LeMat-Bulk | PBE+U | optimized geometry; values from VASP
! - DFT total energy (eV per atom) = -5.071
&SYSTEM
  ibrav = 0, nat = 12, ntyp = 4
/
ATOMIC_SPECIES
Li 6.94 Li.upf
La 138.91 La.upf
Ni 58.69 Ni.upf
F 19.00 F.upf
CELL_PARAMETERS angstrom
-0.1227 2.5442 3.7342
-0.1751 -3.8718 2.9312
7.0260 -0.5357 0.6711
ATOMIC_POSITIONS crystal
Li 0.5326 0.5329 0.8033
Li 0.4674 0.4671 0.1967
La 0.0000 0.0000 0.5000
Ni 0.0000 0.0000 0.0000
F 0.1784 0.7795 0.2195
F 0.7037 0.7408 0.0089
F 0.8163 0.2049 0.1979
F 0.8216 0.2205 0.7805
F 0.2963 0.2592 0.9911
F 0.1837 0.7951 0.8021
F 0.6202 0.7199 0.5524
F 0.3798 0.2801 0.4476

***

What is the DFT total energy in the second record?
-3.852 eV per atom

***

DFT total energy of number 3 (Li2LaNiF8)?
-5.071 eV per atom

***

The lowest DFT total energy belongs to which entry?
Li2LaMoF8

***

DFT total energy of number 2 (Li2LaMoF)?
-3.852 eV per atom